[1]
An optimized crystal structure of Rb2PrCu2O4. Source: the Alexandria database, functional GGA-PBE.

DOS at the Fermi energy in states/eV per cell: 8.15
Formation energy from raw total energies in meV per atom: -1421.2

Unit cell a=13.7071 b=3.5932 c=6.7192 alpha=90.00 beta=107.74 gamma=90.00
Space group C2/m (No. 12)
Unique sites:
Rb 0.1314 0.0000 0.0593 x4
Pr 0.0000 0.0000 0.5000 x2
Cu 0.1801 0.5000 0.5147 x4
O 0.0332 0.5000 0.2903 x4
O 0.1935 0.0000 0.6451 x4

=====

[2]
An optimized crystal structure of RbPr2CuO4. Source: the Alexandria database, functional GGA-PBE.

Formation energy from raw total energies in meV per atom: -2306.6

Unit cell a=3.6540 b=12.3707 c=12.2266 alpha=90.00 beta=90.00 gamma=90.00
Space group Cmcm (No. 63)
Unique sites:
Rb 0.0000 0.0985 0.2500 x4
Pr 0.0000 0.3677 0.0601 x8
Cu 0.0000 0.1778 0.7500 x4
O 0.0000 0.0000 0.0000 x4
O 0.0000 0.2524 0.6004 x8
O 0.0000 0.4148 0.2500 x4

=====

[3]
An optimized crystal structure of RbPr2CuO5. Source: the Alexandria database, functional GGA-PBE.

Formation energy from raw total energies in meV per atom: -2231.7

Unit cell a=6.8808 b=6.8808 c=5.7522 alpha=90.00 beta=90.00 gamma=90.00
Space group P4/mbm (No. 127)
Unique sites:
Rb 0.0000 0.0000 0.0000 x2
Pr 0.1783 0.3217 0.5000 x4
Cu 0.0000 0.5000 0.0000 x2
O 0.0000 0.0000 0.5000 x2
O 0.1274 0.6274 0.2418 x8

=====

[4]
An optimized crystal structure of PrCu3Rh4O12. Source: the Alexandria database, functional GGA-PBE.

DOS at the Fermi energy in states/eV per cell: 20.41
Formation energy from raw total energies in meV per atom: -1021.8

Unit cell a=7.5443 b=7.5443 c=7.5443 alpha=90.00 beta=90.00 gamma=90.00
Space group Im-3 (No. 204)
Unique sites:
Pr 0.0000 0.0000 0.0000 x2
Cu 0.0000 0.0000 0.5000 x6
Rh 0.2500 0.2500 0.2500 x8
O 0.0000 0.3062 0.1649 x24